1.
Pm8Ag2Ru3 | GGA-PBE | optimized geometry

Calculated values
**Energy**: -5.66 eV/atom
**SG**: P2/m

Cell lengths 4.9775, 9.9786, 8.8862 Å; angles 124.20, 90.00, 90.00 degrees
Closest atoms and distances in Å follow each position.
Sites, in units of the cell vectors:
Pm (0.0000, 0.6112, 0.2238)  2 Ru 2.98-3.00, 2 Ag 3.18, 1 Pm 3.29
Pm (0.0000, 0.3888, 0.7762)  2 Ru 2.98-3.00, 2 Ag 3.18, 1 Pm 3.29
Pm (0.0000, 0.1144, 0.2300)  4 Ru 3.01, 2 Ag 3.21
Pm (0.0000, 0.8856, 0.7700)  4 Ru 3.01, 2 Ag 3.21
Pm (0.5000, 0.6395, 0.7735)  3 Ru 2.98-2.99, 2 Ag 3.20-3.22, 1 Pm 3.32
Pm (0.5000, 0.1359, 0.7749)  3 Ru 2.98-2.99, 2 Ag 3.19-3.22, 1 Pm 3.32
Pm (0.5000, 0.8641, 0.2251)  3 Ru 2.98-2.99, 2 Ag 3.19-3.22, 1 Pm 3.32
Pm (0.5000, 0.3605, 0.2265)  3 Ru 2.98-2.99, 2 Ag 3.20-3.22, 1 Pm 3.32
Ag (0.5000, 0.2530, 0.5064)  8 Pm 3.18-3.22
Ag (0.5000, 0.7470, 0.4936)  8 Pm 3.18-3.22
Ru (0.5000, 0.0000, 0.0000)  8 Pm 2.98-3.01
Ru (0.0000, 0.2497, 0.0003)  8 Pm 2.98-3.01
Ru (0.0000, 0.7503, 0.9997)  8 Pm 2.98-3.01

---

2.
TbDyEr2Sc5 | GGA-PBE | optimized geometry

Calculated values
**Energy**: -5.39 eV/atom
**SG**: Cmc2_1

Cell lengths 5.3183, 9.6301, 10.2794 Å; angles 90.00, 90.00, 106.03 degrees
Closest atoms and distances in Å follow each position.
Sites, in units of the cell vectors:
Tb (0.7919, 0.5838, 0.5097)  8 Sc 3.31-3.53, 2 Er 3.40-3.68, 2 Dy 3.58
Tb (0.2081, 0.4162, 0.0097)  8 Sc 3.31-3.53, 2 Er 3.40-3.68, 2 Dy 3.58
Dy (0.5819, 0.1638, 0.9585)  5 Sc 2.94-3.04
Dy (0.4181, 0.8362, 0.4585)  5 Sc 2.94-3.04
Er (0.8871, 0.7742, 0.8238)  9 Sc 3.22-3.45
Er (0.1077, 0.2155, 0.7324)  6 Sc 3.15-3.48, 1 Tb 3.40
Er (0.1129, 0.2258, 0.3238)  9 Sc 3.22-3.45
Er (0.8923, 0.7845, 0.2324)  6 Sc 3.15-3.48, 1 Tb 3.40
Sc (0.3987, 0.7973, 0.0229)  5 Sc 3.15-3.52, 4 Er 3.36-3.42, 1 Dy 3.46
Sc (0.7136, 0.4273, 0.7994)  1 Dy 2.94, 1 Er 3.22, 2 Sc 3.22
Sc (0.4780, 0.9561, 0.7342)  2 Dy 3.00-3.04, 3 Sc 3.15-3.33, 2 Er 3.28
Sc (0.2988, 0.5976, 0.7108)  3 Sc 3.22-3.33, 3 Er 3.33-3.54, 3 Tb 3.37-3.50, 1 Dy 3.41
Sc (0.9792, 0.9584, 0.5322)  2 Dy 2.99, 2 Er 3.15-3.27
Sc (0.6013, 0.2027, 0.5229)  5 Sc 3.15-3.52, 4 Er 3.36-3.42, 1 Dy 3.46
Sc (0.2864, 0.5727, 0.2994)  1 Dy 2.94, 1 Er 3.22, 2 Sc 3.22
Sc (0.5220, 0.0439, 0.2342)  2 Dy 3.00-3.04, 3 Sc 3.15-3.33, 2 Er 3.28
Sc (0.7012, 0.4024, 0.2108)  3 Sc 3.22-3.33, 3 Er 3.33-3.54, 3 Tb 3.37-3.50, 1 Dy 3.41
Sc (0.0208, 0.0416, 0.0322)  2 Dy 2.99, 2 Er 3.15-3.27

---

3.
Dy3MgIn3Ru2 | GGA-PBE | optimized geometry

Calculated values
**Energy**: -5.00 eV/atom
**SG**: P-62m

Cell lengths 3.7528, 7.8669, 7.8669 Å; angles 120.00, 90.00, 90.00 degrees
Closest atoms and distances in Å follow each position.
Sites, in units of the cell vectors:
Dy (0.0000, 0.5924, 0.5924)  4 Ru 3.03, 2 In 3.09, 1 Mg 3.21
Dy (0.0000, 0.0000, 0.4076)  4 Ru 3.03, 2 In 3.09, 1 Mg 3.21
Dy (0.0000, 0.4076, 0.0000)  4 Ru 3.03, 2 In 3.09, 1 Mg 3.21
Mg (0.0000, 0.0000, 0.0000)  6 In 2.89, 3 Dy 3.21
In (0.5000, 0.7202, 0.0000)  2 Ru 2.86, 2 Mg 2.89, 2 Dy 3.09
In (0.5000, 0.0000, 0.7202)  2 Ru 2.86, 2 Mg 2.89, 2 Dy 3.09
In (0.5000, 0.2798, 0.2798)  2 Ru 2.86, 2 Mg 2.89, 2 Dy 3.09
Ru (0.5000, 0.6667, 0.3333)  3 In 2.86, 6 Dy 3.03
Ru (0.5000, 0.3333, 0.6667)  3 In 2.86, 6 Dy 3.03

---

ΔE_f readings, ordered: -2.1, 1.5, -2.8 eV per formula unit
Calculated density readings, ordered: 7637, 5781, 8738 kg/m³